# 1
This record from the Alexandria database describes a relaxed structure of Ce2AgSnS5. The functional is GGA-PBE.

Cell: 8.715 8.715 12.058 Å, 90.00 90.00 153.55°
Positions (direct):
Ce: 0.111 0.889 0.500
Ce: 0.134 0.866 0.874
Ce: 0.866 0.134 0.374
Ce: 0.889 0.111 0.000
Ag: 0.220 0.780 0.134
Ag: 0.780 0.220 0.634
Sn: 0.408 0.592 0.691
Sn: 0.592 0.408 0.191
S: 0.021 0.979 0.288
S: 0.285 0.715 0.501
S: 0.318 0.682 0.874
S: 0.360 0.640 0.198
S: 0.481 0.519 0.492
S: 0.519 0.481 0.992
S: 0.640 0.360 0.698
S: 0.682 0.318 0.374
S: 0.715 0.285 0.001
S: 0.979 0.021 0.788

Computed properties:
Its space group is Cmc2_1 (36). As for the raw formation energy: -1160 meV per atom.

***

# 2
This record from the Alexandria database describes a relaxed structure of RbZrTe4Pd. The functional is GGA-PBE.

Cell: 7.253 6.296 10.274 Å, 90.00 108.61 90.00°
Positions (direct):
Rb: 0.149 0.250 0.447
Rb: 0.851 0.750 0.553
Zr: 0.291 0.750 0.068
Zr: 0.709 0.250 0.932
Te: 0.142 0.250 0.079
Te: 0.323 0.750 0.358
Te: 0.336 0.503 0.821
Te: 0.336 0.997 0.821
Te: 0.664 0.003 0.179
Te: 0.664 0.497 0.179
Te: 0.677 0.250 0.642
Te: 0.858 0.750 0.921
Pd: 0.036 0.250 0.805
Pd: 0.964 0.750 0.195

Computed properties:
Its space group is P2_1/m (11). As for the raw formation energy: -620 meV per atom.

***

# 3
This record from the Alexandria database describes a relaxed structure of Cs2HoTcO6. The functional is GGA-PBE.

Cell: 6.676 6.676 5.725 Å, 90.00 90.00 120.00°
Positions (direct):
Cs: 0.333 0.667 0.353
Cs: 0.667 0.333 0.647
Ho: 0.000 0.000 0.000
Tc: 0.000 0.000 0.500
O: 0.131 0.262 0.705
O: 0.131 0.869 0.705
O: 0.262 0.131 0.295
O: 0.738 0.869 0.705
O: 0.869 0.131 0.295
O: 0.869 0.738 0.295

Computed properties:
Its space group is P-3m1 (164). As for the raw formation energy: -1896 meV per atom.

***

# 4
This record from the Alexandria database describes a relaxed structure of ZrNbS. The functional is GGA-PBE.

Cell: 10.527 3.505 6.118 Å, 90.00 90.00 90.00°
Positions (direct):
Zr: 0.250 0.250 0.078
Zr: 0.250 0.750 0.578
Zr: 0.750 0.250 0.422
Zr: 0.750 0.750 0.922
Nb: 0.005 0.250 0.804
Nb: 0.495 0.750 0.304
Nb: 0.505 0.250 0.696
Nb: 0.995 0.750 0.196
S: 0.107 0.250 0.415
S: 0.393 0.750 0.915
S: 0.607 0.250 0.085
S: 0.893 0.750 0.585

Computed properties:
Its space group is Pnma (62). As for the raw formation energy: -683 meV per atom.

***

# 5
This record from the Alexandria database describes a relaxed structure of Tl3In. The functional is GGA-PBE.

Cell: 3.491 3.491 11.344 Å, 90.00 90.00 120.00°
Positions (direct):
Tl: 0.000 0.000 0.000
Tl: 0.667 0.333 0.258
Tl: 0.667 0.333 0.742
In: 0.000 0.000 0.500

Computed properties:
As for the formation enthalpy at 0 K: 5 meV/atom. Its space group is P-6m2 (187).

***

# 6
This record from the Alexandria database describes a relaxed structure of Er2InCl8. The functional is GGA-PBE.

Cell: 6.891 6.891 6.958 Å, 100.07 100.07 76.61°
Positions (direct):
Er: 0.182 0.182 0.451
Er: 0.818 0.818 0.549
In: 0.500 0.500 0.000
Cl: 0.060 0.060 0.741
Cl: 0.169 0.550 0.676
Cl: 0.301 0.301 0.165
Cl: 0.450 0.831 0.324
Cl: 0.550 0.169 0.676
Cl: 0.699 0.699 0.835
Cl: 0.831 0.450 0.324
Cl: 0.940 0.940 0.259

Computed properties:
Its space group is C2/m (12). As for the raw formation energy: -1823 meV per atom.